[1]
An optimized crystal structure of ErMoC2, computed with GGA-PBE.

Values from the calculation:
Fermi-level density of states = 0.433 states/eV/atom
Spin magnetization = 0.000 μB per atom
Offset from the most stable computed form = 0 meV/atom
DFT formation energy = -0.279 eV per atom

```
ErMoC2
1.0
5.6785 0.0000 0.0000
0.0000 3.3641 0.0000
0.0000 0.0000 10.7605
Er Mo C
4 4 8
Cartesian
0.4900 0.8410 1.4781
2.3493 2.5230 6.8583
3.3292 0.8410 3.9021
5.1885 2.5230 9.2824
0.5638 2.5230 4.2032
2.2754 0.8410 9.5834
3.4030 2.5230 1.1771
5.1147 0.8410 6.5573
0.8982 0.8410 8.1024
1.2939 0.8410 5.2273
1.5454 2.5230 10.6075
1.9411 2.5230 2.7221
3.7374 0.8410 8.0383
4.1331 0.8410 0.1529
4.3846 2.5230 5.5332
4.7803 2.5230 2.6581
```

=====

[2]
An optimized crystal structure of LiCaTl2, computed with GGA-PBE.

Values from the calculation:
Fermi-level density of states = 0.523 states/eV/atom
Spin magnetization = 0.000 μB per atom
DFT formation energy = -0.234 eV per atom

```
LiCaTl2
1.0
-2.0051 2.5728 5.2135
2.0051 -2.5728 5.2135
2.0051 2.5728 -5.2135
Li Ca Tl
1 1 2
Cartesian
0.0000 0.0000 0.0000
0.0000 2.5728 2.4363
2.0051 0.0000 2.3477
0.0000 0.0000 4.9498
```

=====

The DFT total energy results, record by record, are as follows: -8.740, -2.396 eV/atom.